(P)
Y2HoTm: relaxed, GGA-PBE.

Cell: 3.539 3.539 10.019 Å, 90.00 90.00 90.00°
Fractional positions:
Y (0.000, 0.000, 0.249)
Y (0.000, 0.000, 0.751)
Ho (0.500, 0.500, 0.500)
Tm (0.500, 0.500, 0.000)

Summary:
As for the calculated density: 6.8 Mg/m³.

(Q)
Y2HoTm: relaxed, GGA-PBE.

Cell: 11.580 11.580 11.580 Å, 17.74 17.74 17.74°
Fractional positions:
Y (0.000, 0.000, 0.000)
Y (0.167, 0.167, 0.167)
Ho (0.750, 0.750, 0.750)
Tm (0.583, 0.583, 0.583)

Summary:
As for the calculated density: 6.8 Mg/m³.

(R)
Y2HoTm: relaxed, GGA-PBE.

Cell: 3.617 6.260 6.677 Å, 117.93 105.70 90.03°
Fractional positions:
Y (0.000, 0.000, 0.000)
Y (0.246, 0.913, 0.495)
Ho (0.497, 0.496, 0.994)
Tm (0.748, 0.417, 0.499)

Summary:
As for the calculated density: 6.7 Mg/m³.

Least stable = (P)